*P*
# Ti3GeTe, optimized geometry, DFT GGA-PBE
# * density of states at the Fermi level: 6.56 states/eV per cell
# * volume: 111 Å³/f.u.
data_Ti3GeTe
_cell_length_a 4.8043
_cell_length_b 4.8043
_cell_length_c 4.8043
_cell_angle_alpha 90.00
_cell_angle_beta 90.00
_cell_angle_gamma 90.00
_space_group_name_H-M_alt 'P m -3 m'
_space_group_IT_number 221
_space_group_name_Hall '-P 4 2 3'
loop_
_atom_site_label
_atom_site_fract_x
_atom_site_fract_y
_atom_site_fract_z
Ti1 0.0000 0.0000 0.5000
Ge1 0.0000 0.0000 0.0000
Te1 0.5000 0.5000 0.5000

=====

*Q*
# Ti3GeTe, optimized geometry, DFT GGA-PBE
# * density of states at the Fermi level: 5.32 states/eV per cell
# * volume: 126 Å³/f.u.
data_Ti3GeTe
_cell_length_a 5.0092
_cell_length_b 5.0092
_cell_length_c 5.0092
_cell_angle_alpha 90.00
_cell_angle_beta 90.00
_cell_angle_gamma 90.00
_space_group_name_H-M_alt 'P m -3 m'
_space_group_IT_number 221
_space_group_name_Hall '-P 4 2 3'
loop_
_atom_site_label
_atom_site_fract_x
_atom_site_fract_y
_atom_site_fract_z
Ti1 0.0000 0.0000 0.5000
Ge1 0.5000 0.5000 0.5000
Te1 0.0000 0.0000 0.0000

=====

The most stable arrangement is *P*, and the next structure is 525 meV/atom less stable.

=====

*P*
# TlGe2Te2, optimized geometry, DFT GGA-PBE
# * density of states at the Fermi level: 4.20 states/eV per cell
# * volume: 150 Å³/f.u.
data_TlGe2Te2
_cell_length_a 5.5632
_cell_length_b 5.5632
_cell_length_c 9.6959
_cell_angle_alpha 90.00
_cell_angle_beta 90.00
_cell_angle_gamma 90.00
_space_group_name_H-M_alt 'I 4/m m m'
_space_group_IT_number 139
_space_group_name_Hall '-I 4 2'
loop_
_atom_site_label
_atom_site_fract_x
_atom_site_fract_y
_atom_site_fract_z
Tl1 0.0000 0.0000 0.0000
Ge1 0.0000 0.0000 0.3557
Te1 0.0000 0.5000 0.2500

=====

*Q*
# TlGe2Te2, optimized geometry, DFT GGA-PBE
# * density of states at the Fermi level: 5.79 states/eV per cell
# * volume: 143 Å³/f.u.
data_TlGe2Te2
_cell_length_a 4.0416
_cell_length_b 4.0416
_cell_length_c 17.5383
_cell_angle_alpha 90.00
_cell_angle_beta 90.00
_cell_angle_gamma 90.00
_space_group_name_H-M_alt 'I 4/m m m'
_space_group_IT_number 139
_space_group_name_Hall '-I 4 2'
loop_
_atom_site_label
_atom_site_fract_x
_atom_site_fract_y
_atom_site_fract_z
Tl1 0.0000 0.0000 0.0000
Ge1 0.0000 0.5000 0.2500
Te1 0.0000 0.0000 0.3856

=====

The most stable arrangement is *P*, and the next structure is 115 meV/atom less stable.